{
  "formula": "TiZnI2N",
  "functional": "PBEsol",
  "state": "optimized geometry",
  "formation_energy_uncorrected_ev_per_atom": -0.08,
  "cell": [[5.5965, 0.0000, 0.0000], [0.0000, 5.5965, 0.0000], [0.0000, 0.0000, 3.7280]],
  "species": ["Ti", "Zn", "I", "I", "N"],
  "fractional_positions": [[0.0000, 0.0000, 0.0000], [0.5000, 0.5000, 0.5000], [0.0000, 0.5000, 0.0000], [0.5000, 0.0000, 0.0000], [0.0000, 0.0000, 0.5000]]
}

***

{
  "formula": "CaZrIr2",
  "functional": "PBEsol",
  "state": "optimized geometry",
  "ef_ev_per_atom": -0.04,
  "cell": [[6.5064, 0.0000, 0.0000], [0.0000, 6.5064, 0.0000], [0.0000, 0.0000, 6.5064]],
  "species": ["Ca", "Ca", "Ca", "Ca", "Zr", "Zr", "Zr", "Zr", "Ir", "Ir", "Ir", "Ir", "Ir", "Ir", "Ir", "Ir"],
  "fractional_positions": [[0.0000, 0.0000, 0.0000], [0.0000, 0.5000, 0.5000], [0.5000, 0.0000, 0.5000], [0.5000, 0.5000, 0.0000], [0.2500, 0.2500, 0.7500], [0.2500, 0.7500, 0.2500], [0.7500, 0.2500, 0.2500], [0.7500, 0.7500, 0.7500], [0.0000, 0.0000, 0.5000], [0.0000, 0.5000, 0.0000], [0.2500, 0.2500, 0.2500], [0.2500, 0.7500, 0.7500], [0.5000, 0.0000, 0.0000], [0.5000, 0.5000, 0.5000], [0.7500, 0.2500, 0.7500], [0.7500, 0.7500, 0.2500]]
}

***

Q: Which magnetic moment values were calculated for the entries above? A: 0.00, 0.00, in μB per formula unit.